(1)
! NdSm2Tm4Sc (PBE, optimized geometry); values from VASP
! - Space group: C2/c, No. 15
! - ΔH_f (0 K): 0.428 eV per atom
! - Final energy: -35.00 eV per formula unit
! - N(E_F): 2.269 states/eV/atom
&SYSTEM
  ibrav = 0, nat = 16, ntyp = 4
/
ATOMIC_SPECIES
Nd 144.24 Nd.upf
Sm 150.36 Sm.upf
Tm 168.93 Tm.upf
Sc 44.96 Sc.upf
CELL_PARAMETERS angstrom
6.719 -6.535 0.000
6.719 6.535 0.000
-3.351 0.000 5.816
ATOMIC_POSITIONS angstrom
Nd 3.359 3.268 0.000
Nd 1.684 -3.268 2.908
Sm 0.000 0.000 0.000
Sm -1.676 0.000 2.908
Sm 1.684 3.268 2.908
Sm 3.359 -3.268 0.000
Tm 3.367 3.099 5.816
Tm 5.043 3.099 2.909
Tm 3.507 0.000 0.095
Tm 1.832 0.000 3.003
Tm 8.254 0.000 2.813
Tm 6.578 0.000 5.722
Tm 6.718 -3.099 0.000
Tm 5.043 -3.099 2.908
Sc 6.719 0.000 0.000
Sc 5.043 0.000 2.908

(2)
! SrCa2IO6 (PBE, optimized geometry); values from VASP
! - Space group: R3, No. 146
! - Final energy: -56.59 eV per formula unit
! - N(E_F): 0.297 states/eV/atom
&SYSTEM
  ibrav = 0, nat = 10, ntyp = 4
/
ATOMIC_SPECIES
Sr 87.62 Sr.upf
Ca 40.08 Ca.upf
I 126.90 I.upf
O 16.00 O.upf
CELL_PARAMETERS angstrom
2.943 1.699 5.105
-2.943 1.699 5.105
0.000 -3.399 5.105
ATOMIC_POSITIONS angstrom
Sr 0.000 0.000 0.000
Ca 0.000 0.000 4.154
Ca 0.000 0.000 11.996
I 0.000 0.000 7.388
O -1.541 -0.006 6.126
O -1.054 -1.472 8.423
O 0.775 -1.332 6.126
O -0.748 1.649 8.423
O 0.766 1.337 6.126
O 1.802 -0.177 8.423

(3)
! ScCr3N (PBE, optimized geometry); values from VASP
! - Space group: Pm-3m, No. 221
! - Final energy: -44.30 eV per formula unit
! - N(E_F): 1.199 states/eV/atom
&SYSTEM
  ibrav = 0, nat = 5, ntyp = 3
/
ATOMIC_SPECIES
Sc 44.96 Sc.upf
Cr 52.00 Cr.upf
N 14.01 N.upf
CELL_PARAMETERS angstrom
3.930 0.000 0.000
0.000 3.930 0.000
0.000 0.000 3.930
ATOMIC_POSITIONS angstrom
Sc 0.000 0.000 0.000
Cr 0.000 1.965 1.965
Cr 1.965 0.000 1.965
Cr 1.965 1.965 0.000
N 1.965 1.965 1.965

(4)
! YZnPt2 (PBE, optimized geometry); values from VASP
! - Space group: I-42d, No. 122
! - ΔH_f (0 K): -0.451 eV per atom
! - Final energy: -21.62 eV per formula unit
! - N(E_F): 0.666 states/eV/atom
&SYSTEM
  ibrav = 0, nat = 8, ntyp = 3
/
ATOMIC_SPECIES
Y 88.91 Y.upf
Zn 65.41 Zn.upf
Pt 195.08 Pt.upf
CELL_PARAMETERS angstrom
-2.133 2.133 8.917
2.133 -2.133 8.917
2.133 2.133 -8.917
ATOMIC_POSITIONS angstrom
Y 0.000 0.000 0.000
Y 0.000 2.133 4.459
Zn 2.133 0.000 4.459
Zn 0.000 0.000 8.917
Pt 1.066 -0.866 6.688
Pt 1.267 1.066 2.229
Pt 1.066 2.998 -2.229
Pt 0.866 1.066 11.147

(5)
! AgIrRh (PBE, optimized geometry); values from VASP
! - Space group: F-43m, No. 216
! - ΔH_f (0 K): 0.792 eV per atom
! - Final energy: -16.69 eV per formula unit
! - N(E_F): 1.509 states/eV/atom
&SYSTEM
  ibrav = 0, nat = 3, ntyp = 3
/
ATOMIC_SPECIES
Ag 107.87 Ag.upf
Ir 192.22 Ir.upf
Rh 102.91 Rh.upf
CELL_PARAMETERS angstrom
0.000 3.022 3.022
3.022 0.000 3.022
3.022 3.022 0.000
ATOMIC_POSITIONS angstrom
Ag 0.000 0.000 0.000
Ir 1.511 1.511 1.511
Rh 3.022 3.022 3.022

(6)
! MgZrTc2 (PBE, optimized geometry); values from VASP
! - Space group: P4mm, No. 99
! - ΔH_f (0 K): -0.011 eV per atom
! - Final energy: -30.92 eV per formula unit
! - N(E_F): 0.928 states/eV/atom
&SYSTEM
  ibrav = 0, nat = 4, ntyp = 3
/
ATOMIC_SPECIES
Mg 24.30 Mg.upf
Zr 91.22 Zr.upf
Tc 98.00 Tc.upf
CELL_PARAMETERS angstrom
3.065 0.000 0.000
0.000 3.065 0.000
0.000 0.000 7.655
ATOMIC_POSITIONS angstrom
Mg 0.000 0.000 0.000
Zr 1.532 1.532 5.235
Tc 0.000 0.000 3.237
Tc 1.532 1.532 1.861

(7)
! Mg5Tl4Cd (PBE, optimized geometry); values from VASP
! - Space group: P4/mmm, No. 123
! - ΔH_f (0 K): -0.050 eV per atom
! - Final energy: -18.86 eV per formula unit
! - N(E_F): 0.220 states/eV/atom
&SYSTEM
  ibrav = 0, nat = 10, ntyp = 3
/
ATOMIC_SPECIES
Mg 24.30 Mg.upf
Tl 204.38 Tl.upf
Cd 112.41 Cd.upf
CELL_PARAMETERS angstrom
3.567 0.000 0.000
0.000 3.567 0.000
0.000 0.000 19.000
ATOMIC_POSITIONS angstrom
Mg 0.000 0.000 0.000
Mg 0.000 0.000 3.936
Mg 0.000 0.000 7.758
Mg 0.000 0.000 11.242
Mg 0.000 0.000 15.064
Tl 1.783 1.783 1.958
Tl 1.783 1.783 5.846
Tl 1.783 1.783 13.154
Tl 1.783 1.783 17.042
Cd 1.783 1.783 9.500

(8)
! TiCoSbCl2 (PBE, optimized geometry); values from VASP
! - Space group: P4/mmm, No. 123
! - Final energy: -22.34 eV per formula unit
! - N(E_F): 1.191 states/eV/atom
&SYSTEM
  ibrav = 0, nat = 5, ntyp = 4
/
ATOMIC_SPECIES
Ti 47.87 Ti.upf
Co 58.93 Co.upf
Sb 121.76 Sb.upf
Cl 35.45 Cl.upf
CELL_PARAMETERS angstrom
4.558 0.000 0.000
0.000 4.558 0.000
0.000 0.000 5.364
ATOMIC_POSITIONS angstrom
Ti 0.000 0.000 0.000
Co 0.000 0.000 2.682
Sb 2.279 2.279 2.682
Cl 0.000 2.279 0.000
Cl 2.279 0.000 0.000

(9)
! SrAl2Cu (PBE, optimized geometry); values from VASP
! - Space group: Pm, No. 6
! - ΔH_f (0 K): -0.045 eV per atom
! - Final energy: -13.44 eV per formula unit
! - N(E_F): 0.620 states/eV/atom
&SYSTEM
  ibrav = 0, nat = 4, ntyp = 3
/
ATOMIC_SPECIES
Sr 87.62 Sr.upf
Al 26.98 Al.upf
Cu 63.55 Cu.upf
CELL_PARAMETERS angstrom
3.511 0.000 0.000
0.000 4.233 0.000
-1.754 0.000 6.096
ATOMIC_POSITIONS angstrom
Sr 0.000 0.000 0.000
Al 0.003 0.000 3.206
Al 1.755 2.116 2.401
Cu -0.008 2.116 4.360

(10)
! Mg2TlCu (PBE, optimized geometry); values from VASP
! - Space group: Pmmm, No. 47
! - ΔH_f (0 K): -0.046 eV per atom
! - Final energy: -9.84 eV per formula unit
! - N(E_F): 0.294 states/eV/atom
&SYSTEM
  ibrav = 0, nat = 4, ntyp = 3
/
ATOMIC_SPECIES
Mg 24.30 Mg.upf
Tl 204.38 Tl.upf
Cu 63.55 Cu.upf
CELL_PARAMETERS angstrom
3.225 0.000 0.000
0.000 3.255 0.000
0.000 0.000 7.759
ATOMIC_POSITIONS angstrom
Mg 0.000 0.000 1.525
Mg 0.000 0.000 6.233
Tl 1.613 1.628 3.879
Cu 1.613 1.628 0.000

(11)
! TiReTeF2 (PBE, optimized geometry); values from VASP
! - Space group: P4/mmm, No. 123
! - Final energy: -33.25 eV per formula unit
! - N(E_F): 0.764 states/eV/atom
&SYSTEM
  ibrav = 0, nat = 5, ntyp = 4
/
ATOMIC_SPECIES
Ti 47.87 Ti.upf
Re 186.21 Re.upf
Te 127.60 Te.upf
F 19.00 F.upf
CELL_PARAMETERS angstrom
3.888 0.000 0.000
0.000 3.888 0.000
0.000 0.000 5.533
ATOMIC_POSITIONS angstrom
Ti 0.000 0.000 0.000
Re 0.000 0.000 2.766
Te 1.944 1.944 2.766
F 0.000 1.944 0.000
F 1.944 0.000 0.000

(12)
! Zr2MnCu (PBE, optimized geometry); values from VASP
! - Space group: P4mm, No. 99
! - ΔH_f (0 K): 0.021 eV per atom
! - Final energy: -30.28 eV per formula unit
! - N(E_F): 0.727 states/eV/atom
&SYSTEM
  ibrav = 0, nat = 4, ntyp = 3
/
ATOMIC_SPECIES
Zr 91.22 Zr.upf
Mn 54.94 Mn.upf
Cu 63.55 Cu.upf
CELL_PARAMETERS angstrom
3.189 0.000 0.000
0.000 3.189 0.000
0.000 0.000 7.091
ATOMIC_POSITIONS angstrom
Zr 0.000 0.000 0.000
Zr 1.595 1.595 2.209
Mn 1.595 1.595 5.291
Cu 0.000 0.000 3.994